The following is a GGA+U calculation of a relaxed structure of FeS2NO, from Alexandria via LeMat-Bulk. Values from VASP.

Quantum ESPRESSO input file:
```
&SYSTEM
  ibrav = 0, nat = 5, ntyp = 4
/
ATOMIC_SPECIES
Fe 55.84 Fe.upf
S 32.06 S.upf
N 14.01 N.upf
O 16.00 O.upf
CELL_PARAMETERS angstrom
4.112 0.000 0.000
0.000 4.112 0.000
0.000 0.000 3.893
ATOMIC_POSITIONS angstrom
Fe 0.000 0.000 0.000
S 0.000 2.056 1.947
S 2.056 0.000 1.947
N 2.056 2.056 0.000
O 2.056 2.056 1.947
```

Results
DFT total energy = -4.074 eV/atom
space group = P4/mmm, No. 123
magnetic moment = 4.0 μB/f.u.
energy above the lowest structure with this stoichiometry = 0.0 kJ/mol of atoms